Compound: SrNb4O6
Source: Alexandria via LeMat-Bulk
Functional: PBE
Structure: relaxed

- Space group: P4/mmm
- E_form (uncorrected): -2.337 eV/atom
- DOS(E_F): 3.05 states/eV/f.u.

Cell and atoms, written as CIF:
```
data_SrNb4O6
_symmetry_space_group_name_H-M 'P 1'
_symmetry_Int_Tables_number 1
_symmetry_space_group_name_Hall 'P 1'
_cell_length_a 4.216
_cell_length_b 4.216
_cell_length_c 16.451
_cell_angle_alpha 90.00
_cell_angle_beta 90.00
_cell_angle_gamma 90.00
loop_
_atom_site_label
_atom_site_fract_x
_atom_site_fract_y
_atom_site_fract_z
_atom_site_occupancy
Sr1 0.500 0.500 0.876 1
Sr2 0.500 0.500 0.124 1
Nb1 0.000 0.500 0.369 1
Nb2 0.500 0.000 0.631 1
Nb3 0.000 0.000 0.000 1
Nb4 0.000 0.000 0.248 1
Nb5 0.000 0.000 0.752 1
Nb6 0.500 0.000 0.369 1
Nb7 0.000 0.500 0.631 1
Nb8 0.000 0.000 0.500 1
O1 0.000 0.500 0.761 1
O2 0.000 0.000 0.120 1
O3 0.500 0.000 0.761 1
O4 0.000 0.000 0.880 1
O5 0.500 0.500 0.627 1
O6 0.000 0.500 0.239 1
O7 0.500 0.500 0.373 1
O8 0.000 0.500 0.500 1
O9 0.500 0.000 0.239 1
O10 0.500 0.000 0.000 1
O11 0.500 0.000 0.500 1
O12 0.000 0.500 0.000 1
```

Compound: LiMgCdB2
Source: Alexandria via LeMat-Bulk
Functional: PBE
Structure: relaxed

- Space group: P4/mmm
- Energy relative to the elements: 7.018 eV per formula unit
- DOS(E_F): 2.11 states/eV/f.u.

Cell and atoms, written as CIF:
```
data_LiMgCdB2
_symmetry_space_group_name_H-M 'P 1'
_symmetry_Int_Tables_number 1
_symmetry_space_group_name_Hall 'P 1'
_cell_length_a 4.378
_cell_length_b 4.589
_cell_length_c 4.378
_cell_angle_alpha 90.00
_cell_angle_beta 90.00
_cell_angle_gamma 90.00
loop_
_atom_site_label
_atom_site_fract_x
_atom_site_fract_y
_atom_site_fract_z
_atom_site_occupancy
Mg1 0.000 0.000 0.000 1
B1 0.000 0.000 0.500 1
B2 0.500 0.000 0.000 1
Li1 0.000 0.500 0.000 1
Cd1 0.500 0.500 0.500 1
```

Compound: CdFeTe2
Source: Alexandria via LeMat-Bulk
Functional: PBE
Structure: relaxed

- Space group: I-4m2
- E_form (uncorrected): 0.387 eV/atom
- DOS(E_F): 4.95 states/eV/f.u.

Cell and atoms, written as CIF:
```
data_CdFeTe2
_symmetry_space_group_name_H-M 'P 1'
_symmetry_Int_Tables_number 1
_symmetry_space_group_name_Hall 'P 1'
_cell_length_a 8.452
_cell_length_b 8.452
_cell_length_c 8.452
_cell_angle_alpha 152.86
_cell_angle_beta 152.86
_cell_angle_gamma 38.76
loop_
_atom_site_label
_atom_site_fract_x
_atom_site_fract_y
_atom_site_fract_z
_atom_site_occupancy
Cd1 0.500 0.500 0.000 1
Fe1 0.750 0.250 0.500 1
Te1 0.000 0.000 0.000 1
Te2 0.250 0.750 0.500 1
```

Compound: BeTl2Os
Source: Alexandria via LeMat-Bulk
Functional: PBE
Structure: relaxed

- Energy relative to the lowest polymorph listed for this composition: 648 meV per atom
- Space group: P4/mmm
- Energy relative to the elements: 4.290 eV per formula unit
- DOS(E_F): 2.96 states/eV/f.u.

Cell and atoms, written as CIF:
```
data_BeTl2Os
_symmetry_space_group_name_H-M 'P 1'
_symmetry_Int_Tables_number 1
_symmetry_space_group_name_Hall 'P 1'
_cell_length_a 3.900
_cell_length_b 4.306
_cell_length_c 4.306
_cell_angle_alpha 90.00
_cell_angle_beta 90.00
_cell_angle_gamma 90.00
loop_
_atom_site_label
_atom_site_fract_x
_atom_site_fract_y
_atom_site_fract_z
_atom_site_occupancy
Be1 0.500 0.500 0.000 1
Tl1 0.000 0.000 0.000 1
Tl2 0.000 0.500 0.500 1
Os1 0.500 0.000 0.500 1
```

Compound: B2C
Source: Alexandria via LeMat-Bulk
Functional: PBE
Structure: relaxed

- Energy relative to the lowest polymorph listed for this composition: 368 meV per atom
- Space group: P3m1
- Energy relative to the elements: 1.660 eV per formula unit
- DOS(E_F): 0.66 states/eV/f.u.

Cell and atoms, written as CIF:
```
data_B2C
_symmetry_space_group_name_H-M 'P 1'
_symmetry_Int_Tables_number 1
_symmetry_space_group_name_Hall 'P 1'
_cell_length_a 2.617
_cell_length_b 2.617
_cell_length_c 14.406
_cell_angle_alpha 90.00
_cell_angle_beta 90.00
_cell_angle_gamma 120.00
loop_
_atom_site_label
_atom_site_fract_x
_atom_site_fract_y
_atom_site_fract_z
_atom_site_occupancy
B1 0.000 0.000 0.841 1
B2 0.333 0.667 0.913 1
B3 0.667 0.333 0.650 1
B4 0.000 0.000 0.724 1
B5 0.333 0.667 0.341 1
B6 0.333 0.667 0.466 1
B7 0.667 0.333 0.533 1
B8 0.000 0.000 0.202 1
C1 0.000 0.000 0.332 1
C2 0.667 0.333 0.167 1
C3 0.333 0.667 0.022 1
C4 0.667 0.333 0.060 1
```

Compound: AsIr2W
Source: Alexandria via LeMat-Bulk
Functional: PBE
Structure: relaxed

- Space group: Pmmm
- Energy relative to the elements: 0.118 eV per formula unit
- DOS(E_F): 2.83 states/eV/f.u.

Cell and atoms, written as CIF:
```
data_AsIr2W
_symmetry_space_group_name_H-M 'P 1'
_symmetry_Int_Tables_number 1
_symmetry_space_group_name_Hall 'P 1'
_cell_length_a 2.879
_cell_length_b 3.900
_cell_length_c 5.456
_cell_angle_alpha 90.00
_cell_angle_beta 90.00
_cell_angle_gamma 90.00
loop_
_atom_site_label
_atom_site_fract_x
_atom_site_fract_y
_atom_site_fract_z
_atom_site_occupancy
As1 0.500 0.500 0.750 1
Ir1 0.000 0.000 0.007 1
Ir2 0.000 0.000 0.493 1
W1 0.500 0.500 0.250 1
```

Compound: Ti3Ga3Co2Re
Source: Alexandria via LeMat-Bulk
Functional: PBE
Structure: relaxed

- Space group: P-62m
- Energy relative to the elements: -2.878 eV per formula unit
- DOS(E_F): 4.71 states/eV/f.u.

Cell and atoms, written as CIF:
```
data_Ti3Ga3Co2Re
_symmetry_space_group_name_H-M 'P 1'
_symmetry_Int_Tables_number 1
_symmetry_space_group_name_Hall 'P 1'
_cell_length_a 2.991
_cell_length_b 7.134
_cell_length_c 7.134
_cell_angle_alpha 120.00
_cell_angle_beta 90.00
_cell_angle_gamma 90.00
loop_
_atom_site_label
_atom_site_fract_x
_atom_site_fract_y
_atom_site_fract_z
_atom_site_occupancy
Ti1 0.500 0.705 0.000 1
Ti2 0.500 0.000 0.705 1
Ti3 0.500 0.295 0.295 1
Ga1 0.000 0.625 0.625 1
Ga2 0.000 0.000 0.375 1
Ga3 0.000 0.375 0.000 1
Co1 0.500 0.667 0.333 1
Co2 0.500 0.333 0.667 1
Re1 0.000 0.000 0.000 1
```

Compound: HfMn2SnS6
Source: Alexandria via LeMat-Bulk
Functional: PBE
Structure: relaxed

- Space group: R3
- E_form (uncorrected): -0.756 eV/atom
- DOS(E_F): 2.96 states/eV/f.u.

Cell and atoms, written as CIF:
```
data_HfMn2SnS6
_symmetry_space_group_name_H-M 'P 1'
_symmetry_Int_Tables_number 1
_symmetry_space_group_name_Hall 'P 1'
_cell_length_a 6.410
_cell_length_b 6.409
_cell_length_c 6.826
_cell_angle_alpha 61.99
_cell_angle_beta 62.01
_cell_angle_gamma 60.01
loop_
_atom_site_label
_atom_site_fract_x
_atom_site_fract_y
_atom_site_fract_z
_atom_site_occupancy
Hf1 0.317 0.317 0.049 1
Mn1 0.512 0.512 0.464 1
Mn2 0.008 0.008 0.977 1
Sn1 0.808 0.808 0.575 1
S1 0.615 0.244 0.238 1
S2 0.244 0.903 0.238 1
S3 0.903 0.615 0.238 1
S4 0.364 0.739 0.746 1
S5 0.739 0.151 0.746 1
S6 0.151 0.364 0.746 1
```

Number 1: V 13.3 Å³ per atom. Number 2: V 17.6 Å³ per atom. Number 3: V 31.4 Å³ per atom. Number 4: V 18.1 Å³ per atom. Number 5: V 7.1 Å³ per atom. Number 6: V 15.3 Å³ per atom. Number 7: V 14.6 Å³ per atom. Number 8: V 20.4 Å³ per atom.